Record 1
The following is a DFT calculation (GGA-PBE) of an optimized crystal structure of Pa2TaTe.

Results
Space group ... P4/mmm (123)
N(E_F) ... 1.508 states/eV/atom
E_form (uncorrected) ... -0.06 eV/atom
Total magnetic moment ... 0.000 μB per formula unit

Cell lengths 3.875, 3.875, 6.389 Å; angles 90.00, 90.00, 90.00 degrees
Sites, in units of the cell vectors:
Pa1 0.000 0.000 0.247
Pa2 0.000 0.000 0.753
Ta1 0.500 0.500 0.000
Te1 0.500 0.500 0.500


Record 2
The following is a DFT calculation (GGA-PBE) of an optimized crystal structure of Sc2AsI.

Results
Space group ... Fm-3m (225)
N(E_F) ... 0.555 states/eV/atom
E_form (uncorrected) ... -0.67 eV/atom
Total magnetic moment ... 1.468 μB per formula unit

Cell lengths 4.995, 4.995, 4.995 Å; angles 60.00, 60.00, 60.00 degrees
Sites, in units of the cell vectors:
Sc1 0.250 0.250 0.250
Sc2 0.750 0.750 0.750
As1 0.000 0.000 0.000
I1 0.500 0.500 0.500


> E_form (uncorrected) of number 2 (Sc2AsI)?

-0.67 eV/atom


> Among the records above, which one has the highest N(E_F)?

Pa2TaTe


What did the second record say?
The following is a DFT calculation (GGA-PBE) of an optimized crystal structure of Sc2AsI.

Results
Space group ... Fm-3m (225)
N(E_F) ... 0.555 states/eV/atom
E_form (uncorrected) ... -0.67 eV/atom
Total magnetic moment ... 1.468 μB per formula unit

Cell lengths 4.995, 4.995, 4.995 Å; angles 60.00, 60.00, 60.00 degrees
Sites, in units of the cell vectors:
Sc1 0.250 0.250 0.250
Sc2 0.750 0.750 0.750
As1 0.000 0.000 0.000
I1 0.500 0.500 0.500


> Which of these has the highest N(E_F)?

Pa2TaTe